Compound: Sc2InH
Source: the Alexandria database
Functional: PBE
Structure: optimized geometry

Cell: 6.792 6.792 6.792 Å, 90.00 90.00 90.00°
Atoms (fractional coordinates):
Sc (0.250, 0.250, 0.250)
Sc (0.250, 0.250, 0.750)
Sc (0.250, 0.750, 0.250)
Sc (0.250, 0.750, 0.750)
Sc (0.750, 0.250, 0.250)
Sc (0.750, 0.250, 0.750)
Sc (0.750, 0.750, 0.250)
Sc (0.750, 0.750, 0.750)
In (0.000, 0.000, 0.000)
In (0.000, 0.500, 0.500)
In (0.500, 0.000, 0.500)
In (0.500, 0.500, 0.000)
H (0.000, 0.000, 0.500)
H (0.000, 0.500, 0.000)
H (0.500, 0.000, 0.000)
H (0.500, 0.500, 0.500)

Computed properties:
DOS at the Fermi energy   5.30 states/eV per cell

Compound: Mn3AlC
Source: the Alexandria database
Functional: PBE
Structure: optimized geometry

Cell: 3.806 3.806 3.806 Å, 90.00 90.00 90.00°
Atoms (fractional coordinates):
Mn (0.000, 0.000, 0.500)
Mn (0.000, 0.500, 0.000)
Mn (0.500, 0.000, 0.000)
Al (0.500, 0.500, 0.500)
C (0.000, 0.000, 0.000)

Computed properties:
DOS at the Fermi energy   3.62 states/eV per cell
Energy of formation   -0.18 eV per atom

Compound: TaBeSn2
Source: the Alexandria database
Functional: PBE
Structure: optimized geometry

Cell: 7.421 7.421 5.649 Å, 90.00 90.00 90.00°
Atoms (fractional coordinates):
Ta (0.000, 0.000, 0.000)
Ta (0.000, 0.500, 0.250)
Ta (0.500, 0.000, 0.750)
Ta (0.500, 0.500, 0.500)
Be (0.000, 0.000, 0.500)
Be (0.000, 0.500, 0.750)
Be (0.500, 0.000, 0.250)
Be (0.500, 0.500, 0.000)
Sn (0.200, 0.750, 0.625)
Sn (0.250, 0.200, 0.375)
Sn (0.250, 0.300, 0.875)
Sn (0.300, 0.750, 0.125)
Sn (0.700, 0.250, 0.125)
Sn (0.750, 0.700, 0.875)
Sn (0.750, 0.800, 0.375)
Sn (0.800, 0.250, 0.625)

Computed properties:
DOS at the Fermi energy   14.93 states/eV per cell
Energy of formation   0.64 eV per atom

Compound: Ac2PmPd2
Source: the Alexandria database
Functional: PBE
Structure: optimized geometry

Cell: 7.174 7.174 12.005 Å, 117.64 117.64 33.93°
Atoms (fractional coordinates):
Ac (0.039, 0.039, 0.192)
Ac (0.165, 0.165, 0.576)
Ac (0.835, 0.835, 0.424)
Ac (0.961, 0.961, 0.808)
Pm (0.290, 0.290, 0.137)
Pm (0.710, 0.710, 0.863)
Pd (0.379, 0.379, 0.949)
Pd (0.493, 0.493, 0.622)
Pd (0.507, 0.507, 0.378)
Pd (0.621, 0.621, 0.051)

Computed properties:
DOS at the Fermi energy   8.10 states/eV per cell
Energy of formation   -0.65 eV per atom

Compound: TbB12
Source: the Alexandria database
Functional: PBE
Structure: optimized geometry

Cell: 5.309 5.309 5.309 Å, 60.00 60.00 60.00°
Atoms (fractional coordinates):
Tb (0.000, 0.000, 0.000)
B (0.163, 0.500, 0.500)
B (0.163, 0.500, 0.837)
B (0.163, 0.837, 0.500)
B (0.500, 0.163, 0.500)
B (0.500, 0.163, 0.837)
B (0.500, 0.500, 0.163)
B (0.500, 0.500, 0.837)
B (0.500, 0.837, 0.163)
B (0.500, 0.837, 0.500)
B (0.837, 0.163, 0.500)
B (0.837, 0.500, 0.163)
B (0.837, 0.500, 0.500)

Computed properties:
DOS at the Fermi energy   4.66 states/eV per cell
Energy of formation   -0.24 eV per atom

Compound: Pr6NdCo3
Source: the Alexandria database
Functional: PBE
Structure: optimized geometry

Cell: 8.774 8.774 7.330 Å, 90.00 90.00 100.35°
Atoms (fractional coordinates):
Pr (0.027, 0.973, 0.500)
Pr (0.039, 0.414, 0.654)
Pr (0.292, 0.375, 0.014)
Pr (0.327, 0.673, 0.385)
Pr (0.375, 0.292, 0.514)
Pr (0.414, 0.039, 0.154)
Pr (0.586, 0.961, 0.654)
Pr (0.625, 0.708, 0.014)
Pr (0.673, 0.327, 0.885)
Pr (0.708, 0.625, 0.514)
Pr (0.961, 0.586, 0.154)
Pr (0.973, 0.027, 0.000)
Nd (0.223, 0.777, 0.838)
Nd (0.777, 0.223, 0.338)
Co (0.092, 0.302, 0.308)
Co (0.302, 0.092, 0.808)
Co (0.413, 0.587, 0.710)
Co (0.587, 0.413, 0.210)
Co (0.698, 0.908, 0.308)
Co (0.908, 0.698, 0.808)

Computed properties:
DOS at the Fermi energy   18.77 states/eV per cell
Energy of formation   0.00 eV per atom

Compound: NaSrAgI4
Source: the Alexandria database
Functional: PBE
Structure: optimized geometry

Cell: 9.318 9.318 9.318 Å, 121.00 118.60 90.36°
Atoms (fractional coordinates):
Na (0.500, 0.000, 0.000)
Na (0.500, 0.500, 0.500)
Sr (0.000, 0.000, 0.000)
Sr (0.500, 0.000, 0.500)
Ag (0.107, 0.357, 0.750)
Ag (0.893, 0.643, 0.250)
I (0.250, 0.251, 0.501)
I (0.250, 0.749, 0.999)
I (0.260, 0.250, 0.010)
I (0.261, 0.750, 0.510)
I (0.739, 0.250, 0.490)
I (0.740, 0.750, 0.990)
I (0.750, 0.251, 0.001)
I (0.750, 0.749, 0.499)

Computed properties:
DOS at the Fermi energy   0.00 states/eV per cell
Formation energy without anion corrections   -1.146 eV/atom

Compound: Cs4Pr3ZrSe8
Source: the Alexandria database
Functional: PBE
Structure: optimized geometry

Cell: 9.785 9.785 9.785 Å, 52.40 52.40 52.40°
Atoms (fractional coordinates):
Cs (0.000, 0.000, 0.000)
Cs (0.000, 0.500, 0.500)
Cs (0.500, 0.000, 0.500)
Cs (0.500, 0.500, 0.000)
Pr (0.000, 0.000, 0.500)
Pr (0.000, 0.500, 0.000)
Pr (0.500, 0.000, 0.000)
Zr (0.500, 0.500, 0.500)
Se (0.232, 0.232, 0.232)
Se (0.251, 0.718, 0.718)
Se (0.282, 0.282, 0.749)
Se (0.282, 0.749, 0.282)
Se (0.718, 0.251, 0.718)
Se (0.718, 0.718, 0.251)
Se (0.749, 0.282, 0.282)
Se (0.768, 0.768, 0.768)

Computed properties:
DOS at the Fermi energy   4.91 states/eV per cell
Formation energy without anion corrections   -1.591 eV/atom

Compound: TaCoP3
Source: the Alexandria database
Functional: PBE
Structure: optimized geometry

Cell: 4.299 4.299 4.299 Å, 90.00 90.00 90.00°
Atoms (fractional coordinates):
Ta (0.000, 0.000, 0.000)
Co (0.500, 0.500, 0.500)
P (0.000, 0.500, 0.500)
P (0.500, 0.000, 0.500)
P (0.500, 0.500, 0.000)

Computed properties:
DOS at the Fermi energy   5.58 states/eV per cell
Energy of formation   0.66 eV per atom

Compound: TeSeOF2
Source: the Alexandria database
Functional: PBE
Structure: optimized geometry

Cell: 4.582 4.582 4.116 Å, 90.00 90.00 90.00°
Atoms (fractional coordinates):
Te (0.000, 0.000, 0.000)
Se (0.500, 0.500, 0.500)
O (0.000, 0.000, 0.500)
F (0.000, 0.500, 0.000)
F (0.500, 0.000, 0.000)

Computed properties:
DOS at the Fermi energy   1.41 states/eV per cell
Formation energy without anion corrections   -0.616 eV/atom

Compound: CsUCrN4
Source: the Alexandria database
Functional: PBE
Structure: optimized geometry

Cell: 5.763 5.662 8.353 Å, 90.00 108.25 90.00°
Atoms (fractional coordinates):
Cs (0.210, 0.250, 0.432)
Cs (0.790, 0.750, 0.568)
U (0.277, 0.250, 0.956)
U (0.723, 0.750, 0.044)
Cr (0.264, 0.750, 0.142)
Cr (0.736, 0.250, 0.858)
N (0.046, 0.750, 0.949)
N (0.058, 0.750, 0.258)
N (0.470, 0.512, 0.154)
N (0.470, 0.988, 0.154)
N (0.530, 0.012, 0.846)
N (0.530, 0.488, 0.846)
N (0.942, 0.250, 0.742)
N (0.954, 0.250, 0.051)

Computed properties:
DOS at the Fermi energy   6.22 states/eV per cell
Formation energy without anion corrections   -0.676 eV/atom

Compound: Cd5In2Sn2Hg3
Source: the Alexandria database
Functional: PBE
Structure: optimized geometry

Cell: 16.054 16.054 16.054 Å, 164.14 164.14 22.50°
Atoms (fractional coordinates):
Cd (0.000, 0.000, 0.000)
Cd (0.073, 0.573, 0.500)
Cd (0.427, 0.927, 0.500)
Cd (0.573, 0.073, 0.500)
Cd (0.927, 0.427, 0.500)
In (0.242, 0.242, 0.000)
In (0.758, 0.758, 0.000)
Sn (0.144, 0.144, 0.000)
Sn (0.856, 0.856, 0.000)
Hg (0.340, 0.340, 0.000)
Hg (0.500, 0.500, 0.000)
Hg (0.660, 0.660, 0.000)

Computed properties:
DOS at the Fermi energy   4.75 states/eV per cell
Energy of formation   0.05 eV per atom

Compound: CePuAl
Source: the Alexandria database
Functional: PBE
Structure: optimized geometry

Cell: 4.062 5.798 6.585 Å, 109.51 90.03 110.50°
Atoms (fractional coordinates):
Ce (0.018, 0.036, 0.255)
Ce (0.982, 0.964, 0.745)
Pu (0.345, 0.689, 0.445)
Pu (0.655, 0.311, 0.555)
Al (0.305, 0.611, 0.923)
Al (0.695, 0.389, 0.077)

Computed properties:
DOS at the Fermi energy   9.73 states/eV per cell
Energy of formation   -0.13 eV per atom

Compound: SbRuPt2
Source: the Alexandria database
Functional: PBE
Structure: optimized geometry

Cell: 4.049 4.291 7.612 Å, 90.00 90.00 90.00°
Atoms (fractional coordinates):
Sb (0.000, 0.000, 0.000)
Sb (0.500, 0.500, 0.500)
Ru (0.000, 0.500, 0.736)
Ru (0.500, 0.000, 0.236)
Pt (0.000, 0.000, 0.500)
Pt (0.000, 0.500, 0.260)
Pt (0.500, 0.000, 0.760)
Pt (0.500, 0.500, 0.000)

Computed properties:
DOS at the Fermi energy   10.74 states/eV per cell
Formation energy without anion corrections   0.003 eV/atom

Compound: LaYHoSc
Source: the Alexandria database
Functional: PBE
Structure: optimized geometry

Cell: 3.617 5.658 6.123 Å, 90.00 90.00 90.00°
Atoms (fractional coordinates):
La (0.000, 0.000, 0.000)
Y (0.000, 0.500, 0.649)
Ho (0.500, 0.500, 0.160)
Sc (0.500, 0.000, 0.489)

Computed properties:
DOS at the Fermi energy   7.66 states/eV per cell
Energy of formation   0.05 eV per atom

Compound: NaCa3Dy2Se6
Source: the Alexandria database
Functional: PBE
Structure: optimized geometry

Cell: 7.213 7.213 7.207 Å, 99.62 99.62 119.94°
Atoms (fractional coordinates):
Na (0.000, 0.000, 0.000)
Ca (0.164, 0.836, 0.500)
Ca (0.500, 0.500, 0.500)
Ca (0.836, 0.164, 0.500)
Dy (0.333, 0.667, 0.000)
Dy (0.667, 0.333, 0.000)
Se (0.082, 0.424, 0.245)
Se (0.260, 0.260, 0.756)
Se (0.424, 0.082, 0.245)
Se (0.576, 0.918, 0.755)
Se (0.740, 0.740, 0.244)
Se (0.918, 0.576, 0.755)

Computed properties:
DOS at the Fermi energy   3.51 states/eV per cell
Formation energy without anion corrections   -1.860 eV/atom

Compound: SrNpSiO6
Source: the Alexandria database
Functional: PBE
Structure: optimized geometry

Cell: 5.214 5.214 10.786 Å, 90.00 90.00 120.00°
Atoms (fractional coordinates):
Sr (0.000, 0.000, 0.000)
Sr (0.000, 0.000, 0.500)
Np (0.333, 0.667, 0.250)
Np (0.667, 0.333, 0.750)
Si (0.333, 0.667, 0.750)
Si (0.667, 0.333, 0.250)
O (0.037, 0.390, 0.653)
O (0.037, 0.647, 0.847)
O (0.353, 0.390, 0.847)
O (0.353, 0.963, 0.653)
O (0.390, 0.037, 0.153)
O (0.390, 0.353, 0.347)
O (0.610, 0.647, 0.653)
O (0.610, 0.963, 0.847)
O (0.647, 0.037, 0.347)
O (0.647, 0.610, 0.153)
O (0.963, 0.353, 0.153)
O (0.963, 0.610, 0.347)

Computed properties:
Formation energy without anion corrections   -2.760 eV/atom

Compound: Ho3ZnSn
Source: the Alexandria database
Functional: PBE
Structure: optimized geometry

Cell: 5.914 10.645 8.327 Å, 90.00 90.00 90.00°
Atoms (fractional coordinates):
Ho (0.016, 0.098, 0.138)
Ho (0.016, 0.402, 0.138)
Ho (0.218, 0.750, 0.287)
Ho (0.282, 0.250, 0.787)
Ho (0.484, 0.598, 0.638)
Ho (0.484, 0.902, 0.638)
Ho (0.516, 0.098, 0.362)
Ho (0.516, 0.402, 0.362)
Ho (0.718, 0.750, 0.213)
Ho (0.782, 0.250, 0.713)
Ho (0.984, 0.598, 0.862)
Ho (0.984, 0.902, 0.862)
Zn (0.090, 0.250, 0.432)
Zn (0.410, 0.750, 0.932)
Zn (0.590, 0.250, 0.068)
Zn (0.910, 0.750, 0.568)
Sn (0.000, 0.000, 0.500)
Sn (0.000, 0.500, 0.500)
Sn (0.500, 0.000, 0.000)
Sn (0.500, 0.500, 0.000)

Computed properties:
DOS at the Fermi energy   16.18 states/eV per cell
Energy of formation   -0.23 eV per atom

Compound: CaAl2HgBr8
Source: the Alexandria database
Functional: PBE
Structure: optimized geometry

Cell: 12.643 12.643 12.643 Å, 31.71 31.71 31.71°
Atoms (fractional coordinates):
Ca (0.000, 0.000, 0.000)
Al (0.262, 0.262, 0.262)
Al (0.738, 0.738, 0.738)
Hg (0.500, 0.500, 0.500)
Br (0.038, 0.399, 0.708)
Br (0.199, 0.199, 0.199)
Br (0.292, 0.962, 0.601)
Br (0.399, 0.708, 0.038)
Br (0.601, 0.292, 0.962)
Br (0.708, 0.038, 0.399)
Br (0.801, 0.801, 0.801)
Br (0.962, 0.601, 0.292)

Computed properties:
DOS at the Fermi energy   0.00 states/eV per cell
Formation energy without anion corrections   -1.223 eV/atom

Compound: SbPbCl2
Source: the Alexandria database
Functional: PBE
Structure: optimized geometry

Cell: 10.833 3.495 6.745 Å, 90.00 103.68 90.00°
Atoms (fractional coordinates):
Sb (0.000, 0.000, 0.000)
Sb (0.500, 0.500, 0.000)
Pb (0.342, 0.000, 0.618)
Pb (0.842, 0.500, 0.618)
Cl (0.115, 0.500, 0.649)
Cl (0.335, 0.500, 0.196)
Cl (0.615, 0.000, 0.649)
Cl (0.835, 0.000, 0.196)

Computed properties:
DOS at the Fermi energy   3.25 states/eV per cell
Formation energy without anion corrections   -0.536 eV/atom

Computed E, in the same sequence as the records: -74.19, -41.39, -84.05, -53.20, -87.82, -109.52, -40.14, -79.63, -31.87, -18.41, -119.59, -18.36, -48.82, -50.94, -22.10, -59.75, -149.26, -80.68, -37.84, -27.34 eV per cell.
Computed total moment, in the same sequence as the records: 0.00, 3.98, 0.00, 0.00, 0.00, 0.00, 0.00, 0.00, 0.00, 2.15, 1.05, 0.00, 5.56, 0.00, 0.00, 0.00, 1.00, 0.00, 0.00, 0.00 μB per formula unit.